# 1
K4BaP, optimized geometry, DFT GGA-PBEsol; ΔH_f (0 K) = 0.415 eV per atom; M_tot = 0.0 μB per formula unit; space-group type = F-43m, No. 216; DOS at the Fermi energy = 5.66 states/eV per cell; VASP energy = -10.0 eV per cell
1.0
0.000 5.159 5.159
5.159 0.000 5.159
5.159 5.159 0.000
K Ba P
4 1 1
Direct
0.378 0.378 0.378
0.378 0.378 0.865
0.378 0.865 0.378
0.865 0.378 0.378
0.000 0.000 0.000
0.750 0.750 0.750

---

# 2
YCu3Cl, optimized geometry, DFT GGA-PBEsol; energy relative to the elements, uncorrected = 125 kJ/mol of atoms; M_tot = 0.0 μB per formula unit; space-group type = Pm-3m, No. 221; DOS at the Fermi energy = 7.90 states/eV per cell; VASP energy = -15.3 eV per cell
1.0
5.124 0.000 0.000
0.000 5.124 0.000
0.000 0.000 5.124
Y Cu Cl
1 3 1
Direct
0.000 0.000 0.000
0.000 0.000 0.500
0.000 0.500 0.000
0.500 0.000 0.000
0.500 0.500 0.500

---

# 3
HfNiGe, optimized geometry, DFT GGA-PBEsol; ΔH_f (0 K) = -0.811 eV per atom; M_tot = 0.0 μB per formula unit; space-group type = Pnma, No. 62; DOS at the Fermi energy = 1.84 states/eV per cell; VASP energy = -96.1 eV per cell
1.0
6.438 0.000 0.000
0.000 3.824 0.000
0.000 0.000 7.232
Hf Ni Ge
4 4 4
Direct
0.019 0.250 0.189
0.481 0.750 0.689
0.519 0.250 0.311
0.981 0.750 0.811
0.140 0.250 0.562
0.360 0.750 0.062
0.640 0.250 0.938
0.860 0.750 0.438
0.235 0.750 0.384
0.265 0.250 0.884
0.735 0.750 0.116
0.765 0.250 0.616

---

# 4
ZnOs2Pt, optimized geometry, DFT GGA-PBEsol; ΔH_f (0 K) = 0.327 eV per atom; M_tot = 0.0 μB per formula unit; space-group type = Pmmm, No. 47; DOS at the Fermi energy = 4.85 states/eV per cell; VASP energy = -31.7 eV per cell
1.0
2.714 0.000 0.000
0.000 4.530 0.000
0.000 0.000 4.675
Zn Os Pt
1 2 1
Direct
0.000 0.000 0.000
0.000 0.500 0.500
0.500 0.000 0.500
0.500 0.500 0.000

---

# 5
Mg2RuN3, optimized geometry, DFT GGA-PBEsol; energy relative to the elements, uncorrected = -33 kJ/mol of atoms; M_tot = 0.0 μB per formula unit; space-group type = Cmc2_1, No. 36; DOS at the Fermi energy = 4.27 states/eV per cell; VASP energy = -82.4 eV per cell
1.0
5.072 -2.931 0.000
5.072 2.931 0.000
0.000 0.000 5.060
Mg Ru N
4 2 6
Direct
0.010 0.663 0.500
0.337 0.990 0.500
0.663 0.010 0.000
0.990 0.337 0.000
0.316 0.684 0.012
0.684 0.316 0.512
0.019 0.670 0.919
0.330 0.981 0.919
0.376 0.624 0.384
0.624 0.376 0.884
0.670 0.019 0.419
0.981 0.330 0.419

---

# 6
Be2Ru, optimized geometry, DFT GGA-PBEsol; ΔH_f (0 K) = -0.276 eV per atom; M_tot = 0.0 μB per formula unit; space-group type = P6/mmm, No. 191; DOS at the Fermi energy = 1.64 states/eV per cell; VASP energy = -19.0 eV per cell; polymorph energy (0 for the lowest one) = 51 meV/atom
1.0
3.482 0.000 0.000
-1.741 3.015 0.000
0.000 0.000 2.730
Be Ru
2 1
Direct
0.333 0.667 0.000
0.667 0.333 0.000
0.000 0.000 0.500